# 1
Below is NaSbTe2Pb after structural relaxation, with properties calculated at the PBEsol level.

Computed properties:
**Space group**: P4/mmm
**Calculated density**: 6.39 Mg/m³
**DFT total energy**: -2.93 eV/atom

Cell: 5.5125 5.5125 5.1886 Å, 90.00 90.00 90.00°
Last column: nearest neighbours and their distance in Å.
Fractional positions:
1 Na 0.0000 0.0000 0.0000  2 Sb 2.59, 4 Te 2.76
2 Sb 0.0000 0.0000 0.5000  2 Na 2.59
3 Te 0.0000 0.5000 0.0000  2 Na 2.76
4 Te 0.5000 0.0000 0.0000  2 Na 2.76
5 Pb 0.5000 0.5000 0.5000  8 Te 3.79, 4 Sb 3.90

=====

# 2
Below is NaSc2Pb2 after structural relaxation, with properties calculated at the PBEsol level.

Computed properties:
**Space group**: P4/mbm
**Calculated density**: 6.89 Mg/m³
**Formation enthalpy at 0 K**: -0.306 eV/atom
**DFT total energy**: -4.83 eV/atom

Cell: 8.7705 8.7705 3.3032 Å, 90.00 90.00 90.00°
Last column: nearest neighbours and their distance in Å.
Fractional positions:
1 Na 0.0000 0.0000 0.0000  4 Pb 3.27, 2 Na 3.30
2 Na 0.5000 0.5000 0.0000  4 Pb 3.27, 2 Na 3.30
3 Sc 0.1312 0.3688 0.5000  6 Pb 3.01-3.10, 3 Sc 3.26-3.30
4 Sc 0.3688 0.8688 0.5000  6 Pb 3.01-3.10, 3 Sc 3.26-3.30
5 Sc 0.6312 0.1312 0.5000  6 Pb 3.01-3.10, 3 Sc 3.26-3.30
6 Sc 0.8688 0.6312 0.5000  6 Pb 3.01-3.10, 3 Sc 3.26-3.30
7 Pb 0.1663 0.6663 0.0000  6 Sc 3.01-3.10, 2 Na 3.27, 2 Pb 3.30
8 Pb 0.3337 0.1663 0.0000  6 Sc 3.01-3.10, 2 Na 3.27, 2 Pb 3.30
9 Pb 0.6663 0.8337 0.0000  6 Sc 3.01-3.10, 2 Na 3.27, 2 Pb 3.30
10 Pb 0.8337 0.3337 0.0000  6 Sc 3.01-3.10, 2 Na 3.27, 2 Pb 3.30

=====

# 3
Below is NaSr2ScPb after structural relaxation, with properties calculated at the PBEsol level.

Computed properties:
**Space group**: P4/mmm
**Calculated density**: 3.42 Mg/m³
**Formation enthalpy at 0 K**: 0.316 eV/atom
**DFT total energy**: -2.82 eV/atom

Cell: 6.2817 6.2817 5.5432 Å, 90.00 90.00 90.00°
Last column: nearest neighbours and their distance in Å.
Fractional positions:
1 Na 0.0000 0.0000 0.0000  8 Sr 4.19, 4 Pb 4.44
2 Sr 0.0000 0.5000 0.5000  2 Sc 3.14
3 Sr 0.5000 0.0000 0.5000  2 Sc 3.14
4 Sc 0.5000 0.5000 0.5000  2 Pb 2.77
5 Pb 0.5000 0.5000 0.0000  2 Sc 2.77

=====

# 4
Below is Na4Si2PbSe6 after structural relaxation, with properties calculated at the PBEsol level.

Computed properties:
**Space group**: C2
**Calculated density**: 4.28 Mg/m³
**DFT total energy**: -4.24 eV/atom

Cell: 7.0101 7.0101 7.9096 Å, 98.56 98.56 119.85°
Last column: nearest neighbours and their distance in Å.
Fractional positions:
1 Na 0.0000 0.0000 0.0000  6 Se 3.04-3.06
2 Na 0.1684 0.8316 0.5000  6 Se 2.96-3.15
3 Na 0.4910 0.5090 0.5000  6 Se 2.97-3.08
4 Na 0.8381 0.1619 0.5000  6 Se 2.96-3.09
5 Si 0.6155 0.2844 0.8457  3 Se 2.28-2.29, 1 Si 2.33
6 Si 0.7156 0.3845 0.1543  3 Se 2.28-2.29, 1 Si 2.33
7 Pb 0.3310 0.6690 0.0000  6 Se 3.05-3.08
8 Se 0.0565 0.4123 0.2454  1 Si 2.29
9 Se 0.2721 0.2501 0.7522  1 Si 2.29
10 Se 0.4363 0.1072 0.2472  1 Si 2.28
11 Se 0.5877 0.9435 0.7546  1 Si 2.29
12 Se 0.7499 0.7279 0.2478  1 Si 2.29
13 Se 0.8928 0.5637 0.7528  1 Si 2.28

=====

# 5
Below is NaSi2PbW after structural relaxation, with properties calculated at the PBEsol level.

Computed properties:
**Space group**: P4/mmm
**Calculated density**: 6.86 Mg/m³
**DFT total energy**: -4.02 eV/atom

Cell: 4.7529 4.7529 5.0371 Å, 90.00 90.00 90.00°
Last column: nearest neighbours and their distance in Å.
Fractional positions:
1 Na 0.0000 0.0000 0.0000  4 Si 2.38, 2 Pb 2.52
2 Si 0.0000 0.5000 0.0000  2 Na 2.38
3 Si 0.5000 0.0000 0.0000  2 Na 2.38
4 Pb 0.0000 0.0000 0.5000  2 Na 2.52
5 W 0.5000 0.5000 0.5000  4 Pb 3.36, 8 Si 3.46

=====

# 6
Below is Na3SnPb after structural relaxation, with properties calculated at the PBEsol level.

Computed properties:
**Space group**: Pm-3m
**Calculated density**: 3.56 Mg/m³
**Formation enthalpy at 0 K**: 0.391 eV/atom
**DFT total energy**: -2.10 eV/atom

Cell: 5.6897 5.6897 5.6897 Å, 90.00 90.00 90.00°
Last column: nearest neighbours and their distance in Å.
Fractional positions:
1 Na 0.0000 0.0000 0.5000  2 Pb 2.84
2 Na 0.0000 0.5000 0.0000  2 Pb 2.84
3 Na 0.5000 0.0000 0.0000  2 Pb 2.84
4 Sn 0.5000 0.5000 0.5000  12 Na 4.02
5 Pb 0.0000 0.0000 0.0000  6 Na 2.84

=====

The lowest calculated density belongs to which entry? NaSr2ScPb